Density functional theory data (PBE+U) for a relaxed structure of PaV2GeO8.

CIF file:
```
data_PaV2GeO8
_cell_length_a 4.6933
_cell_length_b 4.6933
_cell_length_c 6.3159
_cell_angle_alpha 90.00
_cell_angle_beta 90.00
_cell_angle_gamma 90.85
_symmetry_space_group_name_H-M 'P 1'
_symmetry_Int_Tables_number 1
_symmetry_space_group_name_Hall 'P 1'
loop_
_atom_site_label
_atom_site_type_symbol
_atom_site_fract_x
_atom_site_fract_y
_atom_site_fract_z
Pa1 Pa 0.0000 0.0000 0.0000
V1 V 0.5000 0.5000 0.2775
V2 V 0.5000 0.5000 0.7225
Ge1 Ge 0.0000 0.0000 0.5000
O1 O 0.1984 0.1984 0.2806
O2 O 0.1984 0.1984 0.7194
O3 O 0.2934 0.7066 0.5000
O4 O 0.3183 0.6817 0.0000
O5 O 0.6817 0.3183 0.0000
O6 O 0.7066 0.2934 0.5000
O7 O 0.8016 0.8016 0.2806
O8 O 0.8016 0.8016 0.7194
```

E = -96.2 eV per cell